No. 1
## Mn2AgHg (PBE)

Data for a geometry-optimized Mn2AgHg structure.

Output
Density of states at the Fermi level, states/eV/cell: 2.37
DFT total energy, eV per atom: -5.043
M_tot, μB/cell: 8.06

a b c (Å): 3.2020 3.3292 6.6097
angles (deg): 90.00 90.24 90.00
Closest atoms and distances in Å follow each position.
Element x y z (fractional)
Mn 0.0004 0.0000 0.2386  4 Ag 2.79-2.80, 4 Hg 2.88-2.89
Mn 0.9996 0.0000 0.7614  4 Ag 2.79-2.80, 4 Hg 2.88-2.89
Ag 0.5000 0.5000 0.0000  8 Mn 2.79-2.80
Hg 0.5000 0.5000 0.5000  8 Mn 2.88-2.89, 2 Hg 3.20

=====

No. 2
## Mn2AgHg (PBE)

Data for a geometry-optimized Mn2AgHg structure.

Output
Density of states at the Fermi level, states/eV/cell: 2.93
DFT total energy, eV per atom: -5.043
M_tot, μB/cell: 7.77

a b c (Å): 4.2609 4.2609 3.8237
angles (deg): 90.00 90.00 90.00
Closest atoms and distances in Å follow each position.
Element x y z (fractional)
Mn 0.0000 0.5000 0.0000  4 Hg 2.86, 4 Ag 2.86, 4 Mn 3.01
Mn 0.5000 0.0000 0.0000  4 Hg 2.86, 4 Ag 2.86, 4 Mn 3.01
Ag 0.0000 0.0000 0.5000  8 Mn 2.86, 4 Hg 3.01
Hg 0.5000 0.5000 0.5000  8 Mn 2.86, 4 Ag 3.01